Record 1
{
  "formula": "LiBe2Cd",
  "functional": "PBE",
  "state": "optimized geometry",
  "cell": [[3.1222, 0.0000, 0.0000], [0.0000, 4.2805, 0.0000], [0.0000, 0.0000, 8.3230]],
  "species": ["Li", "Li", "Be", "Be", "Be", "Be", "Cd", "Cd"],
  "frac_coords": [[0.0000, 0.0000, 0.0000], [0.5000, 0.5000, 0.0000], [0.0000, 0.5000, 0.2331], [0.0000, 0.5000, 0.7669], [0.5000, 0.0000, 0.2331], [0.5000, 0.0000, 0.7669], [0.0000, 0.0000, 0.5000], [0.5000, 0.5000, 0.5000]],
  "volume_a3_per_atom": 13.90,
  "density_g_cm3": 4.1,
  "sg": "Cmmm (65)",
  "energy_ev_per_atom": -2.084
}

***

Record 2
{
  "formula": "DyEr4Al",
  "functional": "PBE",
  "state": "optimized geometry",
  "cell": [[3.4994, 0.0000, 0.0000], [0.0000, 3.4994, 0.0000], [0.0000, 0.0000, 13.8798]],
  "species": ["Dy", "Er", "Er", "Er", "Er", "Al"],
  "frac_coords": [[0.0000, 0.0000, 0.0000], [0.0000, 0.0000, 0.3633], [0.0000, 0.0000, 0.6367], [0.5000, 0.5000, 0.1802], [0.5000, 0.5000, 0.8198], [0.5000, 0.5000, 0.5000]],
  "e_above_lowest_polymorph_mev_per_atom": 0,
  "volume_a3_per_atom": 28.33,
  "density_g_cm3": 8.4,
  "sg": "P4/mmm (123)",
  "energy_ev_per_atom": -4.556
}

***

Record 3
{
  "formula": "LaAlSb",
  "functional": "PBE",
  "state": "optimized geometry",
  "cell": [[5.2235, 0.0000, 0.0000], [0.0000, 5.5596, 0.0000], [0.0000, 0.0000, 11.0454]],
  "species": ["La", "La", "La", "La", "Al", "Al", "Al", "Al", "Sb", "Sb", "Sb", "Sb"],
  "frac_coords": [[0.0000, 0.0000, 0.0000], [0.0000, 0.5000, 0.5000], [0.5000, 0.0000, 0.5000], [0.5000, 0.5000, 0.0000], [0.0000, 0.0000, 0.3048], [0.0000, 0.5000, 0.8048], [0.5000, 0.0000, 0.8048], [0.5000, 0.5000, 0.3048], [0.0000, 0.0000, 0.6959], [0.0000, 0.5000, 0.1959], [0.5000, 0.0000, 0.1959], [0.5000, 0.5000, 0.6959]],
  "e_form_raw_ev_per_atom": -0.47,
  "volume_a3_per_atom": 26.73,
  "density_g_cm3": 6.0,
  "sg": "Fmm2 (42)",
  "energy_ev_per_atom": -4.737
}